Entry from the Alexandria database: an optimized crystal structure of BaSrSn2Rh (PBE).

Geometry as CIF:
```
data_BaSrSn2Rh
_chemical_formula_sum 'Ba1 Sr1 Sn2 Rh1'
_symmetry_space_group_name_H-M 'P 4/m m m'
_symmetry_Int_Tables_number 123
_symmetry_space_group_name_Hall '-P 4 2'
_cell_length_a 5.3775
_cell_length_b 5.3775
_cell_length_c 5.6252
_cell_angle_alpha 90.00
_cell_angle_beta 90.00
_cell_angle_gamma 90.00
loop_
_atom_site_label
_atom_site_type_symbol
_atom_site_fract_x
_atom_site_fract_y
_atom_site_fract_z
Ba1 Ba 0.0000 0.0000 0.0000
Sr1 Sr 0.5000 0.5000 0.0000
Sn1 Sn 0.0000 0.5000 0.5000
Rh1 Rh 0.0000 0.0000 0.5000
```

Summary:
Formation energy from the elements in meV/atom: -316
D(E_F) in states/eV per atom: 0.994


Entry from the Alexandria database: an optimized crystal structure of K2BeMo (PBE).

Geometry as CIF:
```
data_K2BeMo
_chemical_formula_sum 'K2 Be1 Mo1'
_symmetry_space_group_name_H-M 'P 4/m m m'
_symmetry_Int_Tables_number 123
_symmetry_space_group_name_Hall '-P 4 2'
_cell_length_a 4.0450
_cell_length_b 4.0450
_cell_length_c 5.7177
_cell_angle_alpha 90.00
_cell_angle_beta 90.00
_cell_angle_gamma 90.00
loop_
_atom_site_label
_atom_site_type_symbol
_atom_site_fract_x
_atom_site_fract_y
_atom_site_fract_z
K1 K 0.0000 0.5000 0.0000
Be1 Be 0.0000 0.0000 0.5000
Mo1 Mo 0.5000 0.5000 0.5000
```

Summary:
Formation energy from the elements in meV/atom: 1547
D(E_F) in states/eV per atom: 1.173


Entry from the Alexandria database: an optimized crystal structure of La3Pm6Y2Mg (PBE).

Geometry as CIF:
```
data_La3Pm6Y2Mg
_chemical_formula_sum 'La6 Pm12 Y4 Mg2'
_symmetry_space_group_name_H-M 'C 1 2/m 1'
_symmetry_Int_Tables_number 12
_symmetry_space_group_name_Hall '-C 2y'
_cell_length_a 6.2982
_cell_length_b 10.9248
_cell_length_c 11.9829
_cell_angle_alpha 90.00
_cell_angle_beta 100.18
_cell_angle_gamma 90.00
loop_
_atom_site_label
_atom_site_type_symbol
_atom_site_fract_x
_atom_site_fract_y
_atom_site_fract_z
La1 La 0.0000 0.0000 0.0000
La2 La 0.0000 0.3323 0.0000
Pm1 Pm 0.2450 0.3347 0.7432
Pm2 Pm 0.2495 0.0000 0.7445
Y1 Y 0.0000 0.1665 0.5000
Mg1 Mg 0.0000 0.5000 0.5000
```

Summary:
Formation energy from the elements in meV/atom: 29
D(E_F) in states/eV per atom: 1.453


Entry from the Alexandria database: an optimized crystal structure of HoThMgPb (PBE).

Geometry as CIF:
```
data_HoThMgPb
_chemical_formula_sum 'Ho4 Th4 Mg4 Pb4'
_symmetry_space_group_name_H-M 'F -4 3 m'
_symmetry_Int_Tables_number 216
_symmetry_space_group_name_Hall 'F -4 2 3'
_cell_length_a 7.6993
_cell_length_b 7.6993
_cell_length_c 7.6993
_cell_angle_alpha 90.00
_cell_angle_beta 90.00
_cell_angle_gamma 90.00
loop_
_atom_site_label
_atom_site_type_symbol
_atom_site_fract_x
_atom_site_fract_y
_atom_site_fract_z
Ho1 Ho 0.0000 0.0000 0.0000
Th1 Th 0.0000 0.0000 0.5000
Mg1 Mg 0.2500 0.2500 0.7500
Pb1 Pb 0.2500 0.2500 0.2500
```

Summary:
Formation energy from the elements in meV/atom: -123
D(E_F) in states/eV per atom: 0.760


Entry from the Alexandria database: an optimized crystal structure of Al3Ir (PBE).

Geometry as CIF:
```
data_Al3Ir
_chemical_formula_sum 'Al12 Ir4'
_symmetry_space_group_name_H-M 'C m c m'
_symmetry_Int_Tables_number 63
_symmetry_space_group_name_Hall '-C 2c 2'
_cell_length_a 3.0218
_cell_length_b 9.5095
_cell_length_c 8.5077
_cell_angle_alpha 90.00
_cell_angle_beta 90.00
_cell_angle_gamma 90.00
loop_
_atom_site_label
_atom_site_type_symbol
_atom_site_fract_x
_atom_site_fract_y
_atom_site_fract_z
Al1 Al 0.0000 0.0388 0.2500
Al2 Al 0.0000 0.3656 0.0321
Ir1 Ir 0.0000 0.2385 0.7500
```

Summary:
Formation energy from the elements in meV/atom: -633
D(E_F) in states/eV per atom: 0.186


Entry from the Alexandria database: an optimized crystal structure of P2OsClO (PBE).

Geometry as CIF:
```
data_P2OsClO
_chemical_formula_sum 'P2 Os1 Cl1 O1'
_symmetry_space_group_name_H-M 'P 4/m m m'
_symmetry_Int_Tables_number 123
_symmetry_space_group_name_Hall '-P 4 2'
_cell_length_a 4.7224
_cell_length_b 4.7224
_cell_length_c 3.7742
_cell_angle_alpha 90.00
_cell_angle_beta 90.00
_cell_angle_gamma 90.00
loop_
_atom_site_label
_atom_site_type_symbol
_atom_site_fract_x
_atom_site_fract_y
_atom_site_fract_z
P1 P 0.0000 0.5000 0.0000
Os1 Os 0.0000 0.0000 0.0000
Cl1 Cl 0.5000 0.5000 0.5000
O1 O 0.0000 0.0000 0.5000
```

Summary:
Distance to the lowest polymorph of the same formula in meV/atom: 0
D(E_F) in states/eV per atom: 0.794


Entry from the Alexandria database: an optimized crystal structure of UAlRe (PBE).

Geometry as CIF:
```
data_UAlRe
_chemical_formula_sum 'U2 Al2 Re2'
_symmetry_space_group_name_H-M 'I 4 m m'
_symmetry_Int_Tables_number 107
_symmetry_space_group_name_Hall 'I 4 -2'
_cell_length_a 3.0787
_cell_length_b 3.0787
_cell_length_c 11.4478
_cell_angle_alpha 90.00
_cell_angle_beta 90.00
_cell_angle_gamma 90.00
loop_
_atom_site_label
_atom_site_type_symbol
_atom_site_fract_x
_atom_site_fract_y
_atom_site_fract_z
U1 U 0.0000 0.0000 0.0000
Al1 Al 0.0000 0.0000 0.2925
Re1 Re 0.0000 0.0000 0.6586
```

Summary:
Distance to the lowest polymorph of the same formula in meV/atom: 0
Formation energy from the elements in meV/atom: -20
D(E_F) in states/eV per atom: 1.287


Entry from the Alexandria database: an optimized crystal structure of Rb2PmS10 (PBE).

Geometry as CIF:
```
data_Rb2PmS10
_chemical_formula_sum 'Rb4 Pm2 S20'
_symmetry_space_group_name_H-M 'P b a m'
_symmetry_Int_Tables_number 55
_symmetry_space_group_name_Hall '-P 2 2ab'
_cell_length_a 6.4903
_cell_length_b 25.0181
_cell_length_c 5.0684
_cell_angle_alpha 90.00
_cell_angle_beta 90.00
_cell_angle_gamma 90.00
loop_
_atom_site_label
_atom_site_type_symbol
_atom_site_fract_x
_atom_site_fract_y
_atom_site_fract_z
Rb1 Rb 0.0377 0.1319 0.0000
Pm1 Pm 0.0000 0.5000 0.5000
S1 S 0.0393 0.4044 0.2015
S2 S 0.0897 0.0338 0.5000
S3 S 0.1580 0.7124 0.5000
S4 S 0.2366 0.7868 0.5000
```

Summary:
Final energy in eV per atom: -4.1814
D(E_F) in states/eV per atom: 0.723


Entry from the Alexandria database: an optimized crystal structure of LiCe2S3 (PBE).

Geometry as CIF:
```
data_LiCe2S3
_chemical_formula_sum 'Li2 Ce4 S6'
_symmetry_space_group_name_H-M 'I m m m'
_symmetry_Int_Tables_number 71
_symmetry_space_group_name_Hall '-I 2 2'
_cell_length_a 3.7763
_cell_length_b 4.4580
_cell_length_c 15.2558
_cell_angle_alpha 90.00
_cell_angle_beta 90.00
_cell_angle_gamma 90.00
loop_
_atom_site_label
_atom_site_type_symbol
_atom_site_fract_x
_atom_site_fract_y
_atom_site_fract_z
Li1 Li 0.0000 0.0000 0.0000
Ce1 Ce 0.0000 0.0000 0.3572
S1 S 0.0000 0.0000 0.1702
S2 S 0.0000 0.5000 0.0000
```

Summary:
Distance to the lowest polymorph of the same formula in meV/atom: 18
D(E_F) in states/eV per atom: 2.102


Entry from the Alexandria database: an optimized crystal structure of Mo2AsW (PBE).

Geometry as CIF:
```
data_Mo2AsW
_chemical_formula_sum 'Mo4 As2 W2'
_symmetry_space_group_name_H-M 'C m m m'
_symmetry_Int_Tables_number 65
_symmetry_space_group_name_Hall '-C 2 2'
_cell_length_a 3.2528
_cell_length_b 4.6632
_cell_length_c 8.4550
_cell_angle_alpha 90.00
_cell_angle_beta 90.00
_cell_angle_gamma 90.00
loop_
_atom_site_label
_atom_site_type_symbol
_atom_site_fract_x
_atom_site_fract_y
_atom_site_fract_z
Mo1 Mo 0.0000 0.0000 0.2458
As1 As 0.0000 0.5000 0.0000
W1 W 0.0000 0.5000 0.5000
```

Summary:
Formation energy from the elements in meV/atom: 198
D(E_F) in states/eV per atom: 0.696


Entry from the Alexandria database: an optimized crystal structure of Rb3In2F7 (PBE).

Geometry as CIF:
```
data_Rb3In2F7
_chemical_formula_sum 'Rb6 In4 F14'
_symmetry_space_group_name_H-M 'C m m m'
_symmetry_Int_Tables_number 65
_symmetry_space_group_name_Hall '-C 2 2'
_cell_length_a 4.6601
_cell_length_b 23.6129
_cell_length_c 4.5141
_cell_angle_alpha 90.00
_cell_angle_beta 90.00
_cell_angle_gamma 90.00
loop_
_atom_site_label
_atom_site_type_symbol
_atom_site_fract_x
_atom_site_fract_y
_atom_site_fract_z
Rb1 Rb 0.0000 0.0000 0.0000
Rb2 Rb 0.0000 0.1856 0.0000
In1 In 0.0000 0.4004 0.5000
F1 F 0.0000 0.0999 0.5000
F2 F 0.0000 0.3058 0.5000
F3 F 0.0000 0.3973 0.0000
F4 F 0.0000 0.5000 0.5000
```

Summary:
Final energy in eV per atom: -4.1970
D(E_F) in states/eV per atom: 0.162


Entry from the Alexandria database: an optimized crystal structure of ScAlPb2Se5 (PBE).

Geometry as CIF:
```
data_ScAlPb2Se5
_chemical_formula_sum 'Sc4 Al4 Pb8 Se20'
_symmetry_space_group_name_H-M 'C m c 21'
_symmetry_Int_Tables_number 36
_symmetry_space_group_name_Hall 'C 2c -2'
_cell_length_a 3.9837
_cell_length_b 18.2028
_cell_length_c 13.2054
_cell_angle_alpha 90.00
_cell_angle_beta 90.00
_cell_angle_gamma 90.00
loop_
_atom_site_label
_atom_site_type_symbol
_atom_site_fract_x
_atom_site_fract_y
_atom_site_fract_z
Sc1 Sc 0.0000 0.2007 0.0000
Al1 Al 0.0000 0.4392 0.3997
Pb1 Pb 0.0000 0.1204 0.2948
Pb2 Pb 0.0000 0.1353 0.6435
Se1 Se 0.0000 0.0443 0.0057
Se2 Se 0.0000 0.2978 0.6414
Se3 Se 0.0000 0.3103 0.3554
Se4 Se 0.0000 0.3476 0.9840
Se5 Se 0.0000 0.4948 0.7451
```

Summary:
Final energy in eV per atom: -4.8422


| no. | total moment (μB per formula unit) |
| --- | --- |
| 1 | 0.00 |
| 2 | 2.16 |
| 3 | 0.00 |
| 4 | 0.00 |
| 5 | 0.00 |
| 6 | 0.00 |
| 7 | 0.00 |
| 8 | 0.00 |
| 9 | 2.21 |
| 10 | 0.00 |
| 11 | 0.00 |
| 12 | 0.00 |